No. 1
## NaMn2HPb (PBE)

Data for crystalline NaMn2HPb at its relaxed geometry.

Properties
As for the space group: No. 123.

Unit cell a=5.5257 b=3.9703 c=5.5257 alpha=90.00 beta=90.00 gamma=90.00
With the nearest neighbours (Å) after each atom.
Positions (direct):
Pb 0.0000 0.0000 0.0000  2 H 1.99
Na 0.5000 0.5000 0.5000  8 Mn 3.40
Mn 0.0000 0.0000 0.5000  2 Pb 2.76
Mn 0.5000 0.0000 0.0000  2 Pb 2.76
H 0.0000 0.5000 0.0000  2 Pb 1.99

No. 2
## Na2MnH6Pt (PBE)

Data for crystalline Na2MnH6Pt at its relaxed geometry.

Properties
As for the space group: No. 12.

Unit cell a=5.1853 b=5.1853 c=5.1873 alpha=59.92 beta=59.92 gamma=90.05
With the nearest neighbours (Å) after each atom.
Positions (direct):
Na 0.7502 0.2498 0.5000  12 H 2.58-2.60
Na 0.2498 0.7502 0.5000  12 H 2.58-2.60
Mn 0.0000 0.0000 0.0000  6 H 1.87-1.88
H 0.2553 0.2552 0.4885  1 Pt 1.79, 1 Mn 1.87
H 0.7452 0.7449 0.9988  1 Pt 1.79, 1 Mn 1.87
H 0.2563 0.7441 0.0000  1 Pt 1.79, 1 Mn 1.88
H 0.7437 0.2559 0.0000  1 Pt 1.79, 1 Mn 1.88
H 0.2547 0.2551 0.0012  1 Pt 1.79, 1 Mn 1.87
H 0.7447 0.7448 0.5115  1 Pt 1.79, 1 Mn 1.87
Pt 0.5000 0.5000 0.0000  6 H 1.79

No. 3
## Rb2NaMnH6 (PBE)

Data for crystalline Rb2NaMnH6 at its relaxed geometry.

Properties
As for the space group: No. 225.

Unit cell a=5.8632 b=5.8632 c=5.8632 alpha=60.00 beta=60.00 gamma=60.00
With the nearest neighbours (Å) after each atom.
Positions (direct):
Rb 0.7500 0.7500 0.7500  12 H 2.96
Rb 0.2500 0.2500 0.2500  12 H 2.96
Na 0.5000 0.5000 0.5000  6 H 2.44
Mn 0.0000 0.0000 0.0000  6 H 1.70
H 0.2052 0.7948 0.7948  1 Mn 1.70
H 0.2052 0.7948 0.2052  1 Mn 1.70
H 0.2052 0.2052 0.7948  1 Mn 1.70
H 0.7948 0.7948 0.2052  1 Mn 1.70
H 0.7948 0.2052 0.2052  1 Mn 1.70
H 0.7948 0.2052 0.7948  1 Mn 1.70

No. 4
## RbNa2MnH6 (PBE)

Data for crystalline RbNa2MnH6 at its relaxed geometry.

Properties
As for the space group: No. 14.

Unit cell a=5.6106 b=5.8270 c=7.7111 alpha=90.00 beta=90.25 gamma=90.00
With the nearest neighbours (Å) after each atom.
Positions (direct):
Rb 0.5000 0.0000 0.0000  4 H 2.60-2.88
Rb 0.0000 0.5000 0.5000  4 H 2.60-2.88
Na 0.0169 0.9526 0.2586  6 H 2.26-2.52
Na 0.5169 0.5474 0.7586  6 H 2.26-2.52
Na 0.9831 0.0474 0.7414  6 H 2.26-2.52
Na 0.4831 0.4526 0.2414  6 H 2.26-2.52
Mn 0.5000 0.0000 0.5000  6 H 1.64-1.67
Mn 0.0000 0.5000 0.0000  6 H 1.64-1.67
H 0.2213 0.6576 0.0724  1 Mn 1.64
H 0.7213 0.8424 0.5724  1 Mn 1.64
H 0.7787 0.3424 0.9276  1 Mn 1.64
H 0.2787 0.1576 0.4276  1 Mn 1.64
H 0.3979 0.7858 0.3775  1 Mn 1.67
H 0.8979 0.7142 0.8775  1 Mn 1.67
H 0.6021 0.2142 0.6225  1 Mn 1.67
H 0.1021 0.2858 0.1225  1 Mn 1.67
H 0.8322 0.6115 0.1572  1 Mn 1.67
H 0.3322 0.8885 0.6572  1 Mn 1.67
H 0.1678 0.3885 0.8428  1 Mn 1.67
H 0.6678 0.1115 0.3428  1 Mn 1.67

No. 5
## NaMnHRh2 (PBE)

Data for crystalline NaMnHRh2 at its relaxed geometry.

Properties
As for the space group: No. 123.

Unit cell a=4.0198 b=3.9038 c=4.0198 alpha=90.00 beta=90.00 gamma=90.00
With the nearest neighbours (Å) after each atom.
Positions (direct):
Na 0.5000 0.5000 0.5000  8 Rh 2.80, 4 Mn 2.84
Mn 0.0000 0.5000 0.0000  2 H 1.95
Rh 0.0000 0.0000 0.5000  2 H 2.01
Rh 0.5000 0.0000 0.0000  2 H 2.01
H 0.0000 0.0000 0.0000  2 Mn 1.95, 4 Rh 2.01

No. 6
## NaMnH2Se (PBE)

Data for crystalline NaMnH2Se at its relaxed geometry.

Properties
As for the space group: No. 123.

Unit cell a=3.7150 b=7.0841 c=3.7150 alpha=90.00 beta=90.00 gamma=90.00
With the nearest neighbours (Å) after each atom.
Positions (direct):
Na 0.0000 0.5000 0.0000  4 Se 2.63
Mn 0.0000 0.0000 0.0000  4 H 1.86
Se 0.5000 0.5000 0.5000  4 Na 2.63
H 0.0000 0.0000 0.5000  2 Mn 1.86
H 0.5000 0.0000 0.0000  2 Mn 1.86

| no. | total energy (eV per atom) |
| --- | --- |
| 1 | -4.41 |
| 2 | -3.92 |
| 3 | -3.37 |
| 4 | -3.38 |
| 5 | -5.52 |
| 6 | -3.90 |